No. 1
Computed, not measured: a relaxed structure of SrCa2Pd at the PBE level of DFT.

Cell: 5.5500 5.5500 5.5500 Å, 60.00 60.00 60.00°
Fractional positions:
Sr 0.0000 0.0000 0.0000
Ca 0.2500 0.2500 0.2500
Ca 0.7500 0.7500 0.7500
Pd 0.5000 0.5000 0.5000

Calculated values
The calculation puts the formation energy at -0.04 eV/atom.


No. 2
Computed, not measured: a relaxed structure of Sm6HoEr3 at the PBE level of DFT.

Cell: 6.2430 11.0602 11.0602 Å, 120.36 90.00 90.00°
Fractional positions:
Sm 0.0424 0.7109 0.6235
Sm 0.5424 0.6235 0.7109
Sm 0.3581 0.5242 0.9453
Sm 0.8581 0.9453 0.5242
Sm 0.4097 0.9592 0.0408
Sm 0.6466 0.2785 0.7215
Sm 0.1466 0.7215 0.2785
Sm 0.9097 0.0408 0.9592
Sm 0.3581 0.0547 0.4758
Sm 0.8581 0.4758 0.0547
Sm 0.0424 0.3765 0.2891
Sm 0.5424 0.2891 0.3765
Ho 0.1222 0.1997 0.8003
Ho 0.6222 0.8003 0.1997
Er 0.4654 0.9444 0.7206
Er 0.9654 0.7206 0.9444
Er 0.0749 0.3869 0.6132
Er 0.5749 0.6132 0.3869
Er 0.9654 0.0556 0.2794
Er 0.4654 0.2794 0.0556

Calculated values
The calculation puts the formation energy at 0.15 eV/atom.


No. 3
Computed, not measured: a relaxed structure of HfMg2SnH at the PBE level of DFT.

Cell: 4.4477 4.4477 4.3059 Å, 90.00 90.00 90.00°
Fractional positions:
H 0.0000 0.0000 0.0000
Mg 0.0000 0.5000 0.0000
Mg 0.5000 0.0000 0.0000
Hf 0.0000 0.0000 0.5000
Sn 0.5000 0.5000 0.5000

Calculated values
The total energy is -4.2028 eV/atom.


Repeat the second record exactly.
Computed, not measured: a relaxed structure of Sm6HoEr3 at the PBE level of DFT.

Cell: 6.2430 11.0602 11.0602 Å, 120.36 90.00 90.00°
Fractional positions:
Sm 0.0424 0.7109 0.6235
Sm 0.5424 0.6235 0.7109
Sm 0.3581 0.5242 0.9453
Sm 0.8581 0.9453 0.5242
Sm 0.4097 0.9592 0.0408
Sm 0.6466 0.2785 0.7215
Sm 0.1466 0.7215 0.2785
Sm 0.9097 0.0408 0.9592
Sm 0.3581 0.0547 0.4758
Sm 0.8581 0.4758 0.0547
Sm 0.0424 0.3765 0.2891
Sm 0.5424 0.2891 0.3765
Ho 0.1222 0.1997 0.8003
Ho 0.6222 0.8003 0.1997
Er 0.4654 0.9444 0.7206
Er 0.9654 0.7206 0.9444
Er 0.0749 0.3869 0.6132
Er 0.5749 0.6132 0.3869
Er 0.9654 0.0556 0.2794
Er 0.4654 0.2794 0.0556

Calculated values
The calculation puts the formation energy at 0.15 eV/atom.